Entry 1:
DFT (GGA-PBE) results for crystalline LaMnB2Pb at its relaxed geometry.

## Properties
Density: 5.2 Mg/m³
Density of states at the Fermi level: 1.4717 states/eV per atom
Calculated formation energy: 2.5015 eV/atom

Cell lengths 4.7074, 4.7074, 6.0508 Å; angles 90.00, 90.00, 90.00 degrees
With the nearest neighbours (Å) after each atom.
Space group P4/mmm (No. 123)
Inequivalent atoms, fractional coordinates:
La  0.0000  0.0000  0.0000 x1  4 B 2.35
Mn  0.5000  0.5000  0.5000 x1  4 Pb 3.33
B  0.0000  0.5000  0.0000 x2  2 La 2.35
Pb  0.0000  0.0000  0.5000 x1  2 La 3.03, 4 Mn 3.33

Entry 2:
DFT (GGA-PBE) results for crystalline Tl4TeSe at its relaxed geometry.

## Properties
Density: 8.9 Mg/m³
ΔE_f (raw): 73 meV per atom
Distance to the lowest polymorph of the same formula: 0.380 eV per atom
Density of states at the Fermi level: 1.0422 states/eV per atom

Cell lengths 9.1327, 9.1327, 9.1327 Å; angles 90.00, 90.00, 90.00 degrees
With the nearest neighbours (Å) after each atom.
Space group F-43m (No. 216)
Inequivalent atoms, fractional coordinates:
Tl  0.1249  0.1249  0.1249 x16  6 Tl 3.23
Te  0.0000  0.0000  0.5000 x4  12 Tl 3.79, 4 Se 3.95
Se  0.2500  0.2500  0.7500 x4  12 Tl 3.79, 4 Te 3.95

Entry 3:
DFT (GGA-PBE) results for crystalline SrTaPd2I at its relaxed geometry.

## Properties
Density: 7.4 Mg/m³
ΔE_f (raw): 105 meV per atom
Density of states at the Fermi level: 0.7014 states/eV per atom

Cell lengths 5.0505, 5.0505, 5.3799 Å; angles 90.00, 90.00, 90.00 degrees
With the nearest neighbours (Å) after each atom.
Space group P4/mmm (No. 123)
Inequivalent atoms, fractional coordinates:
Sr  0.0000  0.0000  0.0000 x1  4 I 3.57, 8 Pd 3.69
Ta  0.5000  0.5000  0.5000 x1  4 Pd 2.53, 2 I 2.69
Pd  0.0000  0.5000  0.5000 x2  2 Ta 2.53
I  0.5000  0.5000  0.0000 x1  2 Ta 2.69